No. 1
The following is a GGA-PBE calculation of a geometry-optimized Ce2P2PbN6 structure, from Alexandria via LeMat-Bulk.

POSCAR file:
```
Ce2P2PbN6
1.0
-5.973 -0.356 -3.212
-3.290 -5.340 -0.391
-2.336 4.764 3.770
N P Ce Pb
6 2 2 1
direct
0.025 0.570 0.822
0.593 0.428 0.178
0.927 0.142 0.377
0.073 0.858 0.623
0.407 0.572 0.822
0.975 0.430 0.178
0.826 0.346 0.271
0.174 0.654 0.729
0.192 0.616 0.179
0.808 0.384 0.821
0.500 0.000 0.500
```

Computed properties:
* uncorrected energy: -7.5242 eV/atom
* total magnetization: 0.25 μB/cell
* space group: P-1 (2)
* calculated volume: 17.71 Å³/atom


No. 2
The following is a GGA-PBE calculation of a geometry-optimized KFeSb2I structure, from Alexandria via LeMat-Bulk.

POSCAR file:
```
KFeSb2I
1.0
-2.584 -3.889 1.413
1.871 0.388 4.489
-4.969 3.931 1.732
K Sb I Fe
1 2 1 1
direct
0.500 0.500 0.500
0.500 0.000 0.000
0.000 0.500 0.000
0.000 0.000 0.500
0.000 0.000 0.000
```

Computed properties:
* uncorrected energy: -3.8999 eV/atom
* total magnetization: 0.00 μB/cell
* space group: P4/mmm (123)
* calculated volume: 31.27 Å³/atom


No. 3
The following is a GGA-PBE calculation of a geometry-optimized BaThPdS4 structure, from Alexandria via LeMat-Bulk.

POSCAR file:
```
BaThPdS4
1.0
-4.432 -3.590 2.855
4.666 -5.088 0.845
4.184 4.717 5.301
Pd S Ba Th
2 8 2 2
direct
0.251 0.750 0.503
0.749 0.250 0.497
0.950 0.250 0.901
0.410 0.750 0.820
0.000 0.000 0.500
0.000 0.500 0.500
0.500 0.500 0.500
0.500 0.000 0.500
0.050 0.750 0.099
0.590 0.250 0.180
0.604 0.750 0.207
0.396 0.250 0.793
0.131 0.250 0.262
0.869 0.750 0.738
```

Computed properties:
* uncorrected energy: -5.7677 eV/atom
* total magnetization: 0.00 μB/cell
* space group: Cmcm (63)
* calculated volume: 24.07 Å³/atom


No. 4
The following is a GGA-PBE calculation of a geometry-optimized Rb2Sm2HfS6 structure, from Alexandria via LeMat-Bulk.

POSCAR file:
```
Rb2Sm2HfS6
1.0
6.899 0.010 0.054
-3.401 6.002 0.054
-1.255 -2.158 7.831
Sm S Hf Rb
2 6 1 2
direct
0.334 0.666 0.500
0.666 0.334 0.500
0.242 0.242 0.315
0.373 0.064 0.687
0.064 0.373 0.687
0.936 0.627 0.313
0.627 0.936 0.313
0.758 0.758 0.685
0.000 0.000 0.500
0.829 0.171 0.000
0.171 0.829 0.000
```

Computed properties:
* uncorrected energy: -5.9720 eV/atom
* total magnetization: 0.00 μB/cell
* space group: C2/m (12)
* calculated volume: 29.65 Å³/atom


No. 5
The following is a GGA-PBE calculation of a geometry-optimized Y2Ho4Mg structure, from Alexandria via LeMat-Bulk.

POSCAR file:
```
Y2Ho4Mg
1.0
-4.595 3.556 -1.573
-4.170 -4.217 2.648
3.074 3.489 10.397
Mg Ho Y
2 8 4
direct
0.158 0.750 0.166
0.842 0.250 0.834
0.033 0.750 0.875
0.146 0.750 0.441
0.354 0.999 0.712
0.854 0.250 0.559
0.646 0.499 0.288
0.354 0.501 0.712
0.967 0.250 0.125
0.646 0.001 0.288
0.720 0.750 0.578
0.280 0.250 0.422
0.390 0.250 0.998
0.610 0.750 0.002
```

Computed properties:
* total magnetization: 0.00 μB/cell
* formation enthalpy at 0 K: 0.105 eV/atom
* space group: P2_1/m (11)
* calculated volume: 30.68 Å³/atom


No. 6
The following is a GGA-PBE calculation of a geometry-optimized CsCd3Au structure, from Alexandria via LeMat-Bulk.

POSCAR file:
```
CsCd3Au
1.0
7.459 0.000 0.000
0.000 9.360 -0.190
0.000 -3.310 9.464
Cd Cs Au
12 4 4
direct
0.833 0.942 0.617
0.167 0.058 0.383
0.968 0.346 0.408
0.667 0.942 0.117
0.333 0.058 0.883
0.468 0.654 0.092
0.012 0.160 0.111
0.512 0.840 0.389
0.532 0.346 0.908
0.488 0.160 0.611
0.032 0.654 0.592
0.988 0.840 0.889
0.026 0.349 0.788
0.474 0.349 0.288
0.526 0.651 0.712
0.974 0.651 0.212
0.279 0.916 0.091
0.221 0.916 0.591
0.779 0.084 0.409
0.721 0.084 0.909
```

Computed properties:
* total magnetization: 0.00 μB/cell
* formation enthalpy at 0 K: -0.140 eV/atom
* space group: P2_1/c (14)
* calculated volume: 32.80 Å³/atom


No. 7
The following is a GGA-PBE calculation of a geometry-optimized HoGa12Pt6 structure, from Alexandria via LeMat-Bulk.

POSCAR file:
```
HoGa12Pt6
1.0
-3.528 -6.110 1.547
5.234 -2.009 -4.554
3.448 1.722 6.109
Ga Pt Ho
12 6 1
direct
0.392 0.392 0.141
0.500 0.889 0.111
0.111 0.889 0.500
0.889 0.111 0.500
0.500 0.111 0.889
0.392 0.141 0.392
0.141 0.392 0.392
0.608 0.608 0.859
0.889 0.500 0.111
0.111 0.500 0.889
0.859 0.608 0.608
0.608 0.859 0.608
0.714 0.284 0.284
0.716 0.716 0.286
0.286 0.716 0.716
0.716 0.286 0.716
0.284 0.714 0.284
0.284 0.284 0.714
0.000 0.000 0.000
```

Computed properties:
* total magnetization: 0.00 μB/cell
* formation enthalpy at 0 K: -0.550 eV/atom
* space group: R-3m (166)
* calculated volume: 17.45 Å³/atom


No. 8
The following is a GGA-PBE calculation of a geometry-optimized CoReH2 structure, from Alexandria via LeMat-Bulk.

POSCAR file:
```
CoReH2
1.0
3.958 0.000 0.000
0.000 3.958 0.000
1.979 1.979 3.995
H Re Co
4 2 2
direct
0.176 0.625 0.250
0.574 0.125 0.250
0.375 0.426 0.750
0.875 0.824 0.750
0.000 0.000 0.000
0.750 0.250 0.500
0.500 0.500 0.000
0.250 0.750 0.500
```

Computed properties:
* uncorrected energy: -6.3236 eV/atom
* total magnetization: 0.00 μB/cell
* space group: I-42d (122)
* calculated volume: 7.82 Å³/atom


No. 9
The following is a GGA-PBE calculation of a geometry-optimized Hf2AlGaCu structure, from Alexandria via LeMat-Bulk.

POSCAR file:
```
Hf2AlGaCu
1.0
4.985 0.000 0.000
0.000 4.484 0.000
0.000 0.000 4.985
Hf Al Ga Cu
2 1 1 1
direct
0.000 0.000 0.500
0.500 0.000 0.000
0.000 0.000 0.000
0.000 0.500 0.000
0.500 0.500 0.500
```

Computed properties:
* total magnetization: 0.00 μB/cell
* formation enthalpy at 0 K: 0.881 eV/atom
* space group: P4/mmm (123)
* calculated volume: 22.28 Å³/atom


No. 10
The following is a GGA-PBE calculation of a geometry-optimized AcTb3Ir structure, from Alexandria via LeMat-Bulk.

POSCAR file:
```
AcTb3Ir
1.0
-2.097 4.300 2.776
-0.934 -3.271 4.361
5.032 1.185 1.966
Ac Tb Ir
1 3 1
direct
0.500 0.500 0.500
0.000 0.500 0.000
0.500 0.000 0.000
0.000 0.000 0.500
0.000 0.000 0.000
```

Computed properties:
* total magnetization: 0.00 μB/cell
* formation enthalpy at 0 K: -0.310 eV/atom
* space group: Pm-3m (221)
* calculated volume: 33.85 Å³/atom


No. 11
The following is a GGA-PBE calculation of a geometry-optimized CrGeOs3 structure, from Alexandria via LeMat-Bulk.

POSCAR file:
```
CrGeOs3
1.0
4.469 0.000 0.000
0.000 4.469 0.000
0.000 0.000 4.469
Os Cr Ge
3 1 1
direct
0.000 0.500 0.000
0.500 0.000 0.000
0.000 0.000 0.500
0.000 0.000 0.000
0.500 0.500 0.500
```

Computed properties:
* total magnetization: 0.00 μB/cell
* formation enthalpy at 0 K: 1.718 eV/atom
* space group: Pm-3m (221)
* calculated volume: 17.85 Å³/atom


No. 12
The following is a GGA-PBE calculation of a geometry-optimized Pr5SmMg structure, from Alexandria via LeMat-Bulk.

POSCAR file:
```
Pr5SmMg
1.0
-0.077 -9.648 -1.725
2.530 5.447 -2.735
11.749 -0.572 2.676
Sm Pr Mg
2 10 2
direct
0.505 0.000 0.750
0.495 0.000 0.250
0.862 0.000 0.750
0.138 0.000 0.250
0.979 0.589 0.846
0.609 0.589 0.346
0.546 0.772 0.037
0.391 0.411 0.654
0.454 0.228 0.963
0.225 0.772 0.537
0.775 0.228 0.463
0.021 0.411 0.154
0.000 0.000 0.000
0.000 0.000 0.500
```

Computed properties:
* total magnetization: 0.00 μB/cell
* formation enthalpy at 0 K: 0.094 eV/atom
* space group: C2/c (15)
* calculated volume: 34.81 Å³/atom